Entry from the Alexandria database: a relaxed ReTeOs2 crystal (PBE).

abc: 4.990 4.990 4.692
angles: 85.00 85.00 34.69
Sites, in units of the cell vectors:
Os (0.023, 0.023, 0.975)
Os (0.752, 0.752, 0.748)
Re (0.477, 0.477, 0.531)
Te (0.249, 0.249, 0.246)

Output
- ΔE_f (raw): 681 meV/atom
- Space-group type: No. 8
- Energy: -8.831 eV per atom